# 1
# CdRe2Ag (PBE, optimized geometry)
data_CdRe2Ag
_chemical_formula_sum 'Cd1 Re2 Ag1'
_cell_length_a 4.939
_cell_length_b 4.939
_cell_length_c 2.748
_cell_angle_alpha 90.00
_cell_angle_beta 90.00
_cell_angle_gamma 90.00
_symmetry_space_group_name_H-M 'P 1'
_symmetry_Int_Tables_number 1
loop_
_symmetry_equiv_pos_as_xyz
'x,y,z'
loop_
_atom_site_label
_atom_site_type_symbol
_atom_site_fract_x
_atom_site_fract_y
_atom_site_fract_z
Re1 Re 0.000 0.000 0.000
Re2 Re 0.500 0.500 0.000
Ag1 Ag 0.500 0.000 0.500
Cd1 Cd 0.000 0.500 0.500
# * size of the total moment: 0.000 μB/atom
# * SG: P4/mmm
# * calculated formation energy: 1.12 eV per atom

# 2
# Ti2VMoH (PBE, optimized geometry)
data_Ti2VMoH
_chemical_formula_sum 'Ti2 V1 Mo1 H1'
_cell_length_a 4.341
_cell_length_b 4.341
_cell_length_c 3.411
_cell_angle_alpha 90.00
_cell_angle_beta 90.00
_cell_angle_gamma 90.00
_symmetry_space_group_name_H-M 'P 1'
_symmetry_Int_Tables_number 1
loop_
_symmetry_equiv_pos_as_xyz
'x,y,z'
loop_
_atom_site_label
_atom_site_type_symbol
_atom_site_fract_x
_atom_site_fract_y
_atom_site_fract_z
H1 H 0.000 0.000 0.000
Mo1 Mo 0.500 0.500 0.500
Ti1 Ti 0.000 0.500 0.000
Ti2 Ti 0.500 0.000 0.000
V1 V 0.000 0.000 0.500
# * calculated total energy: -39.5 eV per cell
# * size of the total moment: 0.149 μB/atom
# * SG: P4/mmm

# 3
# SmU4Se8 (PBE, optimized geometry)
data_SmU4Se8
_chemical_formula_sum 'Sm1 U4 Se8'
_cell_length_a 8.333
_cell_length_b 8.333
_cell_length_c 8.333
_cell_angle_alpha 58.19
_cell_angle_beta 58.19
_cell_angle_gamma 58.19
_symmetry_space_group_name_H-M 'P 1'
_symmetry_Int_Tables_number 1
loop_
_symmetry_equiv_pos_as_xyz
'x,y,z'
loop_
_atom_site_label
_atom_site_type_symbol
_atom_site_fract_x
_atom_site_fract_y
_atom_site_fract_z
Sm1 Sm 0.500 0.500 0.500
U1 U 0.500 0.000 0.500
U2 U 0.000 0.500 0.500
U3 U 0.500 0.500 0.000
U4 U 0.000 0.000 0.000
Se1 Se 0.248 0.750 0.248
Se2 Se 0.752 0.752 0.250
Se3 Se 0.752 0.250 0.752
Se4 Se 0.250 0.752 0.752
Se5 Se 0.743 0.743 0.743
Se6 Se 0.257 0.257 0.257
Se7 Se 0.750 0.248 0.248
Se8 Se 0.248 0.248 0.750
# * size of the total moment: 0.843 μB/atom
# * SG: R-3m
# * energy relative to the elements, uncorrected: -1.254 eV per atom

# 4
# Sr2SbMo (PBE, optimized geometry)
data_Sr2SbMo
_chemical_formula_sum 'Sr2 Sb1 Mo1'
_cell_length_a 5.180
_cell_length_b 5.180
_cell_length_c 4.611
_cell_angle_alpha 90.00
_cell_angle_beta 90.00
_cell_angle_gamma 90.06
_symmetry_space_group_name_H-M 'P 1'
_symmetry_Int_Tables_number 1
loop_
_symmetry_equiv_pos_as_xyz
'x,y,z'
loop_
_atom_site_label
_atom_site_type_symbol
_atom_site_fract_x
_atom_site_fract_y
_atom_site_fract_z
Mo1 Mo 0.500 0.000 0.500
Sb1 Sb 0.000 0.500 0.500
Sr1 Sr 0.000 0.000 0.000
Sr2 Sr 0.500 0.500 0.000
# * size of the total moment: 1.049 μB/atom
# * SG: Cmmm
# * energy relative to the elements, uncorrected: 0.295 eV per atom

# 5
# Tl2HBrO (PBE, optimized geometry)
data_Tl2HBrO
_chemical_formula_sum 'Tl4 H2 Br2 O2'
_cell_length_a 7.594
_cell_length_b 7.594
_cell_length_c 6.994
_cell_angle_alpha 122.88
_cell_angle_beta 122.88
_cell_angle_gamma 90.00
_symmetry_space_group_name_H-M 'P 1'
_symmetry_Int_Tables_number 1
loop_
_symmetry_equiv_pos_as_xyz
'x,y,z'
loop_
_atom_site_label
_atom_site_type_symbol
_atom_site_fract_x
_atom_site_fract_y
_atom_site_fract_z
Tl1 Tl 0.253 0.753 0.005
Tl2 Tl 0.753 0.752 0.005
Tl3 Tl 0.752 0.252 0.005
Tl4 Tl 0.252 0.253 0.005
H1 H 0.685 0.685 0.370
H2 H 0.185 0.185 0.370
Br1 Br 0.734 0.234 0.468
Br2 Br 0.234 0.734 0.468
O1 O 0.076 0.076 0.152
O2 O 0.576 0.576 0.152
# * calculated total energy: -37.4 eV per cell
# * size of the total moment: 0.000 μB/atom
# * SG: P4mm

# 6
# In3SnHg4 (PBE, optimized geometry)
data_In3SnHg4
_chemical_formula_sum 'In3 Sn1 Hg4'
_cell_length_a 3.228
_cell_length_b 5.874
_cell_length_c 21.621
_cell_angle_alpha 147.64
_cell_angle_beta 94.28
_cell_angle_gamma 90.00
_symmetry_space_group_name_H-M 'P 1'
_symmetry_Int_Tables_number 1
loop_
_symmetry_equiv_pos_as_xyz
'x,y,z'
loop_
_atom_site_label
_atom_site_type_symbol
_atom_site_fract_x
_atom_site_fract_y
_atom_site_fract_z
In1 In 0.000 0.500 0.000
In2 In 0.250 0.751 0.501
In3 In 0.750 0.249 0.499
Sn1 Sn 0.500 0.000 0.000
Hg1 Hg 0.631 0.805 0.262
Hg2 Hg 0.369 0.195 0.738
Hg3 Hg 0.869 0.700 0.739
Hg4 Hg 0.131 0.300 0.261
# * size of the total moment: 0.000 μB/atom
# * SG: C2/m
# * calculated formation energy: 0.01 eV per atom

# 7
# PrDy3Ho6Sc2 (PBE, optimized geometry)
data_PrDy3Ho6Sc2
_chemical_formula_sum 'Pr1 Dy3 Ho6 Sc2'
_cell_length_a 6.059
_cell_length_b 6.059
_cell_length_c 11.619
_cell_angle_alpha 94.96
_cell_angle_beta 94.96
_cell_angle_gamma 119.96
_symmetry_space_group_name_H-M 'P 1'
_symmetry_Int_Tables_number 1
loop_
_symmetry_equiv_pos_as_xyz
'x,y,z'
loop_
_atom_site_label
_atom_site_type_symbol
_atom_site_fract_x
_atom_site_fract_y
_atom_site_fract_z
Pr1 Pr 0.000 0.000 0.000
Dy1 Dy 0.167 0.833 0.500
Dy2 Dy 0.833 0.167 0.500
Dy3 Dy 0.500 0.500 0.500
Ho1 Ho 0.917 0.581 0.753
Ho2 Ho 0.746 0.746 0.247
Ho3 Ho 0.083 0.419 0.247
Ho4 Ho 0.581 0.917 0.753
Ho5 Ho 0.254 0.254 0.753
Ho6 Ho 0.419 0.083 0.247
Sc1 Sc 0.333 0.667 0.000
Sc2 Sc 0.667 0.333 0.000
# * size of the total moment: 0.000 μB/atom
# * SG: C2/m
# * calculated formation energy: 0.04 eV per atom

# 8
# Pm4GaCoCl2 (PBE, optimized geometry)
data_Pm4GaCoCl2
_chemical_formula_sum 'Pm4 Ga1 Co1 Cl2'
_cell_length_a 3.937
_cell_length_b 7.412
_cell_length_c 7.710
_cell_angle_alpha 108.71
_cell_angle_beta 90.00
_cell_angle_gamma 90.00
_symmetry_space_group_name_H-M 'P 1'
_symmetry_Int_Tables_number 1
loop_
_symmetry_equiv_pos_as_xyz
'x,y,z'
loop_
_atom_site_label
_atom_site_type_symbol
_atom_site_fract_x
_atom_site_fract_y
_atom_site_fract_z
Pm1 Pm 0.500 0.233 0.209
Pm2 Pm 0.500 0.767 0.791
Pm3 Pm 0.000 0.221 0.785
Pm4 Pm 0.000 0.779 0.215
Ga1 Ga 0.500 0.500 0.000
Co1 Co 0.000 0.000 0.000
Cl1 Cl 0.500 0.000 0.500
Cl2 Cl 0.000 0.500 0.500
# * size of the total moment: 0.000 μB/atom
# * SG: P2/m
# * energy relative to the elements, uncorrected: -0.882 eV per atom

# 9
# AcF3 (PBE, optimized geometry)
data_AcF3
_chemical_formula_sum 'Ac6 F18'
_cell_length_a 7.483
_cell_length_b 7.483
_cell_length_c 7.610
_cell_angle_alpha 90.00
_cell_angle_beta 90.00
_cell_angle_gamma 120.00
_symmetry_space_group_name_H-M 'P 1'
_symmetry_Int_Tables_number 1
loop_
_symmetry_equiv_pos_as_xyz
'x,y,z'
loop_
_atom_site_label
_atom_site_type_symbol
_atom_site_fract_x
_atom_site_fract_y
_atom_site_fract_z
Ac1 Ac 0.341 0.341 0.750
Ac2 Ac 0.000 0.659 0.750
Ac3 Ac 0.659 0.000 0.750
Ac4 Ac 0.659 0.659 0.250
Ac5 Ac 0.000 0.341 0.250
Ac6 Ac 0.341 0.000 0.250
F1 F 0.000 0.000 0.750
F2 F 0.000 0.000 0.250
F3 F 0.333 0.667 0.812
F4 F 0.667 0.333 0.688
F5 F 0.667 0.333 0.188
F6 F 0.333 0.667 0.312
F7 F 0.314 0.949 0.582
F8 F 0.051 0.365 0.582
F9 F 0.635 0.686 0.582
F10 F 0.365 0.051 0.918
F11 F 0.686 0.635 0.918
F12 F 0.949 0.314 0.918
F13 F 0.686 0.051 0.418
F14 F 0.949 0.635 0.418
F15 F 0.365 0.314 0.418
F16 F 0.635 0.949 0.082
F17 F 0.314 0.365 0.082
F18 F 0.051 0.686 0.082
# * ΔE to the lowest computed polymorph: 0 meV per atom
# * size of the total moment: 0.000 μB/atom
# * SG: P-3c1
# * energy relative to the elements, uncorrected: -4.235 eV per atom

# 10
# AcGeTe3 (PBE, optimized geometry)
data_AcGeTe3
_chemical_formula_sum 'Ac4 Ge4 Te12'
_cell_length_a 7.680
_cell_length_b 8.753
_cell_length_c 10.494
_cell_angle_alpha 90.00
_cell_angle_beta 91.95
_cell_angle_gamma 90.00
_symmetry_space_group_name_H-M 'P 1'
_symmetry_Int_Tables_number 1
loop_
_symmetry_equiv_pos_as_xyz
'x,y,z'
loop_
_atom_site_label
_atom_site_type_symbol
_atom_site_fract_x
_atom_site_fract_y
_atom_site_fract_z
Ac1 Ac 0.962 0.622 0.249
Ac2 Ac 0.538 0.122 0.251
Ac3 Ac 0.038 0.378 0.751
Ac4 Ac 0.462 0.878 0.749
Ge1 Ge 0.429 0.596 0.066
Ge2 Ge 0.071 0.096 0.434
Ge3 Ge 0.571 0.404 0.934
Ge4 Ge 0.929 0.904 0.566
Te1 Te 0.155 0.682 0.559
Te2 Te 0.345 0.182 0.941
Te3 Te 0.845 0.318 0.441
Te4 Te 0.655 0.818 0.059
Te5 Te 0.867 0.026 0.786
Te6 Te 0.633 0.526 0.714
Te7 Te 0.133 0.974 0.214
Te8 Te 0.367 0.474 0.286
Te9 Te 0.651 0.805 0.440
Te10 Te 0.849 0.305 0.060
Te11 Te 0.349 0.195 0.560
Te12 Te 0.151 0.695 0.940
# * size of the total moment: 0.000 μB/atom
# * SG: P2_1/c
# * energy relative to the elements, uncorrected: -0.845 eV per atom

Going through the records in order, we get theoretical density values of 14.7; 6.3; 7.3; 5.3; 6.5; 9.7; 7.8; 6.1; 7.7; 6.4 g/cm³.